1.
BeCoAs2 (PBE, relaxed); calculated volume = 15.34 A^3/atom; Fermi-level density of states = 2.33 states/eV/f.u.; space-group type = Cm (8); calculated formation energy = -0.0193 eV/atom; magnetic moment = 0.00 μB per formula unit
1.0
3.673 -1.540 0.000
3.673 1.540 0.000
-1.830 0.000 5.425
Be Co As
1 1 2
Direct
0.000 0.000 0.000
0.243 0.243 0.850
0.490 0.490 0.660
0.776 0.776 0.190

2.
BeCoAs4 (PBE, relaxed); calculated volume = 18.54 A^3/atom; Fermi-level density of states = 3.59 states/eV/f.u.; space-group type = F-43m (216); calculated formation energy = 0.9402 eV/atom; magnetic moment = 2.07 μB per formula unit
1.0
0.000 3.817 3.817
3.817 0.000 3.817
3.817 3.817 0.000
Be Co As
1 1 4
Direct
0.000 0.000 0.000
0.750 0.750 0.750
0.375 0.375 0.375
0.375 0.375 0.875
0.375 0.875 0.375
0.875 0.375 0.375

Question: Which of these has the lowest calculated formation energy?
Answer: BeCoAs2

Question: The lowest Fermi-level density of states belongs to which entry?
Answer: BeCoAs2

Question: Which value of calculated formation energy does entry 2 give?
Answer: 0.9402 eV/atom